A geometry-optimized Y6TeC3 structure. Source: the Alexandria database, functional PBE.

Cell: 3.7014 11.1045 11.3362 Å, 108.66 90.00 90.00°
With the nearest neighbours (Å) after each atom.
Atoms (fractional coordinates):
1 C 0.2500 0.2583 0.7254  5 Y 2.44-2.52
2 C 0.2500 0.6510 0.5289  6 Y 2.45-2.62
3 C 0.7500 0.7417 0.2746  5 Y 2.44-2.52
4 C 0.7500 0.9590 0.8549  6 Y 2.44-2.55
5 C 0.2500 0.0410 0.1451  6 Y 2.44-2.55
6 C 0.7500 0.3490 0.4711  6 Y 2.45-2.62
7 Y 0.7500 0.7574 0.6664  3 C 2.46-2.55
8 Y 0.7500 0.9542 0.2425  3 C 2.50
9 Y 0.2500 0.6541 0.1321  2 C 2.44
10 Y 0.7500 0.1806 0.5681  3 C 2.45-2.52
11 Y 0.2500 0.4625 0.6206  3 C 2.55-2.62
12 Y 0.2500 0.0458 0.7575  3 C 2.50
13 Y 0.7500 0.1317 0.0533  3 C 2.44-2.49
14 Y 0.7500 0.5375 0.3794  3 C 2.55-2.62
15 Y 0.2500 0.8683 0.9467  3 C 2.44-2.49
16 Y 0.7500 0.3459 0.8679  2 C 2.44
17 Y 0.2500 0.2426 0.3336  3 C 2.46-2.55
18 Y 0.2500 0.8194 0.4319  3 C 2.45-2.52
19 Te 0.2500 0.3794 0.1230  6 Y 3.02-3.35
20 Te 0.7500 0.6207 0.8770  6 Y 3.02-3.35

Computed properties:
The symmetry is P2_1/m, No. 11. For the formation energy (no corrections), the calculation gives -0.4978 eV/atom. For the density of states at the Fermi level, the calculation gives 7.4 states/eV/f.u.